1.
VASP calculation (PBE) on SbMoRh3 after structural relaxation.

## Properties
As for the polymorph energy (0 for the lowest one): 0.00 eV per formula unit. The uncorrected energy comes out at -32.402 eV for the cell shown. For the formation energy (no corrections), the calculation gives 0.921 eV per atom.

Cell lengths 4.7104, 4.7104, 4.7104 Å; angles 90.00, 90.00, 90.00 degrees
Space group Pm-3m (No. 221)
One atom of each set of equivalent atoms:
Sb1 0.0000 0.0000 0.0000 [1 per cell]
Mo1 0.5000 0.5000 0.5000 [1 per cell]
Rh1 0.0000 0.5000 0.5000 [3 per cell]

---

2.
VASP calculation (PBE) on ErPa2NiN5 after structural relaxation.

## Properties
The uncorrected energy comes out at -323.905 eV for the cell shown. For the formation energy (no corrections), the calculation gives -1.113 eV per atom.

Cell lengths 3.4040, 13.2604, 10.1208 Å; angles 90.00, 90.00, 90.00 degrees
Space group Cmc2_1 (No. 36)
One atom of each set of equivalent atoms:
Er1 0.0000 0.1978 0.0000 [4 per cell]
Pa1 0.0000 0.1039 0.6820 [4 per cell]
Pa2 0.0000 0.1359 0.2984 [4 per cell]
Ni1 0.0000 0.4813 0.4580 [4 per cell]
N1 0.0000 0.0446 0.0827 [4 per cell]
N2 0.0000 0.2803 0.6804 [4 per cell]
N3 0.0000 0.3383 0.3570 [4 per cell]
N4 0.0000 0.3718 0.0002 [4 per cell]
N5 0.0000 0.4825 0.7770 [4 per cell]

---

3.
VASP calculation (PBE) on LaZnAs2Br after structural relaxation.

## Properties
As for the polymorph energy (0 for the lowest one): 0.00 eV per formula unit. The uncorrected energy comes out at -19.507 eV for the cell shown. For the formation energy (no corrections), the calculation gives -0.467 eV per atom.

Cell lengths 4.8105, 4.8105, 5.4181 Å; angles 90.00, 90.00, 90.00 degrees
Space group P4/mmm (No. 123)
One atom of each set of equivalent atoms:
La1 0.0000 0.0000 0.0000 [1 per cell]
Zn1 0.5000 0.5000 0.5000 [1 per cell]
As1 0.0000 0.5000 0.5000 [2 per cell]
Br1 0.5000 0.5000 0.0000 [1 per cell]

---

4.
VASP calculation (PBE) on CaZnSi2 after structural relaxation.

## Properties
The uncorrected energy comes out at -122.718 eV for the cell shown. For the formation energy (no corrections), the calculation gives -0.305 eV per atom.

Cell lengths 13.7016, 4.1977, 10.6852 Å; angles 90.00, 90.00, 90.00 degrees
Space group Pnma (No. 62)
One atom of each set of equivalent atoms:
Ca1 0.0540 0.2500 0.2488 [4 per cell]
Ca2 0.1984 0.7500 0.9767 [4 per cell]
Zn1 0.0550 0.2500 0.5518 [4 per cell]
Zn2 0.2085 0.7500 0.6803 [4 per cell]
Si1 0.0374 0.2500 0.9712 [4 per cell]
Si2 0.1097 0.2500 0.7742 [4 per cell]
Si3 0.1330 0.7500 0.4663 [4 per cell]
Si4 0.2127 0.7500 0.2683 [4 per cell]

---

5.
VASP calculation (PBE) on CrBiBr2 after structural relaxation.

## Properties
As for the polymorph energy (0 for the lowest one): 3.22 eV per formula unit. The uncorrected energy comes out at -57.911 eV for the cell shown. For the formation energy (no corrections), the calculation gives 0.593 eV per atom.

Cell lengths 7.0080, 7.0080, 9.8626 Å; angles 90.00, 90.00, 90.00 degrees
Space group I-42d (No. 122)
One atom of each set of equivalent atoms:
Cr1 0.0000 0.0000 0.0000 [4 per cell]
Bi1 0.0000 0.0000 0.5000 [4 per cell]
Br1 0.1290 0.7500 0.1250 [8 per cell]

---

6.
VASP calculation (PBE) on Ni2OsAu after structural relaxation.

## Properties
As for the polymorph energy (0 for the lowest one): 0.65 eV per formula unit. As for the energy of formation: 6.808 kcal/mol of atoms. The uncorrected energy comes out at -49.778 eV for the cell shown.

Cell lengths 8.9011, 2.6642, 4.6532 Å; angles 90.00, 100.62, 90.00 degrees
Space group Cm (No. 8)
One atom of each set of equivalent atoms:
Ni1 0.0000 0.0000 0.0000 [2 per cell]
Ni2 0.2410 0.5000 0.2625 [2 per cell]
Os1 0.2594 0.0000 0.8060 [2 per cell]
Au1 0.4988 0.0000 0.4980 [2 per cell]

---

7.
VASP calculation (PBE) on Na2GaAsP after structural relaxation.

## Properties
As for the energy of formation: 10.125 kcal/mol of atoms. The uncorrected energy comes out at -13.529 eV for the cell shown.

Cell lengths 5.7857, 5.7857, 4.5541 Å; angles 90.00, 90.00, 90.00 degrees
Space group P4/mmm (No. 123)
One atom of each set of equivalent atoms:
Na1 0.0000 0.5000 0.0000 [2 per cell]
Ga1 0.0000 0.0000 0.0000 [1 per cell]
As1 0.5000 0.5000 0.5000 [1 per cell]
P1 0.0000 0.0000 0.5000 [1 per cell]

---

8.
VASP calculation (PBE) on LiNi2PbN after structural relaxation.

## Properties
The uncorrected energy comes out at -25.700 eV for the cell shown. For the formation energy (no corrections), the calculation gives -0.038 eV per atom.

Cell lengths 3.8685, 3.8685, 4.2953 Å; angles 90.00, 90.00, 90.00 degrees
Space group P4/mmm (No. 123)
One atom of each set of equivalent atoms:
Li1 0.0000 0.0000 0.0000 [1 per cell]
Ni1 0.0000 0.5000 0.5000 [2 per cell]
Pb1 0.5000 0.5000 0.0000 [1 per cell]
N1 0.0000 0.0000 0.5000 [1 per cell]

---

9.
VASP calculation (PBE) on Tl9HgSb2 after structural relaxation.

## Properties
The uncorrected energy comes out at -29.952 eV for the cell shown. For the formation energy (no corrections), the calculation gives -0.009 eV per atom.

Cell lengths 4.9916, 4.9916, 14.8704 Å; angles 90.00, 90.00, 90.00 degrees
Space group P4/mmm (No. 123)
One atom of each set of equivalent atoms:
Tl1 0.0000 0.0000 0.0000 [1 per cell]
Tl2 0.0000 0.0000 0.3407 [2 per cell]
Tl3 0.0000 0.5000 0.1746 [4 per cell]
Tl4 0.0000 0.5000 0.5000 [2 per cell]
Hg1 0.5000 0.5000 0.0000 [1 per cell]
Sb1 0.5000 0.5000 0.3288 [2 per cell]

---

10.
VASP calculation (PBE) on La3Ni3Ru after structural relaxation.

## Properties
As for the energy of formation: -6.116 kcal/mol of atoms. The uncorrected energy comes out at -173.035 eV for the cell shown.

Cell lengths 10.8160, 4.1000, 14.6544 Å; angles 90.00, 107.66, 90.00 degrees
Space group C2/m (No. 12)
One atom of each set of equivalent atoms:
La1 0.0493 0.0000 0.2739 [4 per cell]
La2 0.1700 0.0000 0.5757 [4 per cell]
La3 0.1827 0.5000 0.0946 [4 per cell]
Ni1 0.0411 0.5000 0.4281 [4 per cell]
Ni2 0.0470 0.0000 0.9372 [4 per cell]
Ni3 0.1613 0.5000 0.7182 [4 per cell]
Ru1 0.0977 0.5000 0.8654 [4 per cell]

---

11.
VASP calculation (PBE) on BeHg2Sb after structural relaxation.

## Properties
As for the polymorph energy (0 for the lowest one): 0.94 eV per formula unit. The uncorrected energy comes out at -27.357 eV for the cell shown. For the formation energy (no corrections), the calculation gives 0.403 eV per atom.

Cell lengths 4.7376, 4.7376, 16.9734 Å; angles 90.00, 90.00, 90.00 degrees
Space group I-42d (No. 122)
One atom of each set of equivalent atoms:
Be1 0.0000 0.0000 0.0000 [4 per cell]
Hg1 0.1744 0.2500 0.1250 [8 per cell]
Sb1 0.0000 0.0000 0.5000 [4 per cell]

---

12.
VASP calculation (PBE) on AlAg2P after structural relaxation.

## Properties
As for the polymorph energy (0 for the lowest one): 0.28 eV per formula unit. As for the energy of formation: 3.612 kcal/mol of atoms. The uncorrected energy comes out at -14.228 eV for the cell shown.

Cell lengths 2.9328, 4.8291, 4.9066 Å; angles 90.00, 94.01, 90.00 degrees
Space group Pm (No. 6)
One atom of each set of equivalent atoms:
Al1 0.0000 0.0000 0.0000 [1 per cell]
Ag1 0.0532 0.5000 0.3324 [1 per cell]
Ag2 0.5562 0.0000 0.4916 [1 per cell]
P1 0.7833 0.5000 0.8220 [1 per cell]

---

13.
VASP calculation (PBE) on Gd2GaPt after structural relaxation.

## Properties
As for the energy of formation: -16.590 kcal/mol of atoms. The uncorrected energy comes out at -120.321 eV for the cell shown.

Cell lengths 3.9356, 3.9356, 23.3246 Å; angles 90.00, 90.00, 120.00 degrees
Space group R-3m (No. 166, hexagonal axes)
One atom of each set of equivalent atoms:
Gd1 0.0000 0.0000 0.2417 [6 per cell]
Ga1 0.0000 0.0000 0.0000 [3 per cell]
Pt1 0.0000 0.0000 0.5000 [3 per cell]

---

14.
VASP calculation (PBE) on Pm3Sm2Cd2 after structural relaxation.

## Properties
As for the polymorph energy (0 for the lowest one): 0.00 eV per formula unit. As for the energy of formation: -3.597 kcal/mol of atoms. The uncorrected energy comes out at -79.837 eV for the cell shown.

Cell lengths 5.5177, 5.5177, 24.3934 Å; angles 90.00, 90.00, 120.00 degrees
Space group R-3m (No. 166, hexagonal axes)
One atom of each set of equivalent atoms:
Pm1 0.0000 0.0000 0.0000 [3 per cell]
Pm2 0.0000 0.0000 0.1581 [6 per cell]
Sm1 0.0000 0.0000 0.4258 [6 per cell]
Cd1 0.0000 0.0000 0.2891 [6 per cell]

---

15.
VASP calculation (PBE) on CaPbIN2 after structural relaxation.

## Properties
As for the polymorph energy (0 for the lowest one): 0.52 eV per formula unit. The uncorrected energy comes out at -19.084 eV for the cell shown. For the formation energy (no corrections), the calculation gives 0.965 eV per atom.

Cell lengths 4.8277, 4.8277, 6.1271 Å; angles 90.00, 90.00, 90.00 degrees
Space group P4/mmm (No. 123)
One atom of each set of equivalent atoms:
Ca1 0.0000 0.0000 0.0000 [1 per cell]
Pb1 0.5000 0.5000 0.5000 [1 per cell]
I1 0.0000 0.0000 0.5000 [1 per cell]
N1 0.0000 0.5000 0.0000 [2 per cell]

---

16.
VASP calculation (PBE) on Rb3Tl4Ga after structural relaxation.

## Properties
As for the energy of formation: -0.930 kcal/mol of atoms. The uncorrected energy comes out at -31.434 eV for the cell shown.

Cell lengths 6.9872, 8.1651, 11.3784 Å; angles 90.00, 90.00, 90.00 degrees
Space group Imm2 (No. 44)
One atom of each set of equivalent atoms:
Rb1 0.0000 0.0000 0.0000 [2 per cell]
Rb2 0.0000 0.2369 0.6390 [4 per cell]
Tl1 0.0000 0.2968 0.3044 [4 per cell]
Tl2 0.2386 0.5000 0.8829 [4 per cell]
Ga1 0.0000 0.5000 0.0944 [2 per cell]

---

17.
VASP calculation (PBE) on TaTcIr2 after structural relaxation.

## Properties
As for the polymorph energy (0 for the lowest one): 0.26 eV per formula unit. As for the energy of formation: -10.236 kcal/mol of atoms. The uncorrected energy comes out at -83.432 eV for the cell shown.

Cell lengths 5.5758, 7.8161, 2.7973 Å; angles 90.00, 90.00, 90.00 degrees
Space group Cmmm (No. 65)
One atom of each set of equivalent atoms:
Ta1 0.0000 0.0000 0.0000 [2 per cell]
Tc1 0.0000 0.5000 0.0000 [2 per cell]
Ir1 0.2500 0.2500 0.5000 [4 per cell]

---

18.
VASP calculation (PBE) on Si2SbP after structural relaxation.

## Properties
As for the polymorph energy (0 for the lowest one): 1.74 eV per formula unit. The uncorrected energy comes out at -35.470 eV for the cell shown. For the formation energy (no corrections), the calculation gives 0.661 eV per atom.

Cell lengths 5.8095, 6.9572, 3.6810 Å; angles 90.00, 90.00, 90.00 degrees
Space group Cmmm (No. 65)
One atom of each set of equivalent atoms:
Si1 0.2500 0.2500 0.0000 [4 per cell]
Sb1 0.0000 0.0000 0.5000 [2 per cell]
P1 0.0000 0.5000 0.5000 [2 per cell]

---

19.
VASP calculation (PBE) on TiPN3 after structural relaxation.

## Properties
The uncorrected energy comes out at -168.092 eV for the cell shown. For the formation energy (no corrections), the calculation gives -0.748 eV per atom.

Cell lengths 11.9401, 2.8534, 5.8869 Å; angles 90.00, 99.88, 90.00 degrees
Space group C2/m (No. 12)
One atom of each set of equivalent atoms:
Ti1 0.1371 0.0000 0.3544 [4 per cell]
P1 0.1110 0.5000 0.8356 [4 per cell]
N1 0.0240 0.5000 0.2745 [4 per cell]
N2 0.1401 0.0000 0.9878 [4 per cell]
N3 0.1845 0.5000 0.6220 [4 per cell]

---

20.
VASP calculation (PBE) on PmTlBi2O4 after structural relaxation.

## Properties
The uncorrected energy comes out at -47.525 eV for the cell shown. For the formation energy (no corrections), the calculation gives -1.602 eV per atom.

Cell lengths 3.9818, 3.9818, 10.4393 Å; angles 90.00, 90.00, 90.00 degrees
Space group P4/mmm (No. 123)
One atom of each set of equivalent atoms:
Pm1 0.0000 0.0000 0.0000 [1 per cell]
Tl1 0.0000 0.0000 0.5000 [1 per cell]
Bi1 0.5000 0.5000 0.2429 [2 per cell]
O1 0.0000 0.5000 0.1384 [4 per cell]